Density functional theory data (PBE) for Pm5SmAs6 after structural relaxation.

M_tot = 0.00 Bohr magnetons per cell
E = -149.4 eV/cell
E_form = -1.53 eV per atom

a b c (Å): 7.3373 12.7021 7.3358
angles (deg): 90.00 109.50 90.00
Last column: nearest neighbours and their distance in Å.
Space group C2/m (No. 12)
Inequivalent atoms, fractional coordinates:
Pm: 0.0000 0.0000 0.0000  6 As 2.99-3.00
Pm: 0.0000 0.1666 0.5000  6 As 2.99-3.00
Pm: 0.0000 0.3332 0.0000  6 As 2.99-3.00
Sm: 0.0000 0.5000 0.5000  6 As 2.99
As: 0.2494 0.3337 0.7494  1 Sm 2.99, 5 Pm 2.99-3.00
As: 0.2493 0.5000 0.2504  1 Sm 2.99, 5 Pm 2.99-3.00

---

Density functional theory data (PBE) for PmSmAs after structural relaxation.

M_tot = 1.12 Bohr magnetons per cell
E = -16.7 eV/cell
offset from the most stable computed form = 0.151 eV per formula unit
E_form = -0.86 eV per atom

a b c (Å): 4.0626 4.0626 6.6800
angles (deg): 90.00 90.00 120.00
Last column: nearest neighbours and their distance in Å.
Space group P3m1 (No. 156)
Inequivalent atoms, fractional coordinates:
Pm: 0.0000 0.0000 0.0000  3 As 2.92
Sm: 0.3333 0.6667 0.4837  3 As 2.90
As: 0.6667 0.3333 0.7401  3 Sm 2.90, 3 Pm 2.92

---

Density functional theory data (PBE) for PmSm3As4 after structural relaxation.

M_tot = 0.00 Bohr magnetons per cell
E = -99.5 eV/cell
offset from the most stable computed form = 0.026 eV per formula unit
E_form = -1.53 eV per atom

a b c (Å): 8.4410 11.9347 4.2229
angles (deg): 90.00 90.00 90.00
Last column: nearest neighbours and their distance in Å.
Space group Cmmm (No. 65)
Inequivalent atoms, fractional coordinates:
Pm: 0.0000 0.0000 0.0000  6 As 2.99
Sm: 0.0000 0.5000 0.0000  6 As 2.98
Sm: 0.2500 0.2500 0.5000  6 As 2.98-2.99
As: 0.0000 0.2504 0.0000  5 Sm 2.98-2.99, 1 Pm 2.99
As: 0.2490 0.5000 0.5000  4 Sm 2.98, 2 Pm 2.99